# 1
BaY2Te2: optimized geometry, PBE.

Properties
space-group type	P4/mbm (127)
total magnetic moment	0.0	μB/f.u.
energy above the lowest structure with this stoichiometry	53.2	meV/atom
density	6.12	g/cm³
D(E_F)	4.55	states/eV per cell

The structure in POSCAR format:
```
BaY2Te2
1.0
8.831 0.000 0.000
0.000 8.831 0.000
0.000 0.000 3.971
Y Te Ba
4 4 2
direct
0.149 0.649 0.500 Y
0.649 0.851 0.500 Y
0.851 0.351 0.500 Y
0.351 0.149 0.500 Y
0.360 0.860 0.000 Te
0.860 0.640 0.000 Te
0.640 0.140 0.000 Te
0.140 0.360 0.000 Te
0.000 0.000 0.000 Ba
0.500 0.500 0.000 Ba
```

***

# 2
BaY2Te2: optimized geometry, PBE.

Properties
space-group type	I4/mmm (139)
total magnetic moment	1.5	μB/f.u.
energy above the lowest structure with this stoichiometry	0.0	meV/atom
density	5.54	g/cm³
D(E_F)	3.86	states/eV per cell

The structure in POSCAR format:
```
BaY2Te2
1.0
4.683 0.000 0.000
0.000 4.683 0.000
2.341 2.341 7.800
Y Te Ba
2 2 1
direct
0.750 0.250 0.500 Y
0.250 0.750 0.500 Y
0.384 0.384 0.232 Te
0.616 0.616 0.768 Te
0.000 0.000 0.000 Ba
```

***

Number 2 is which compound? BaY2Te2

***

Please write out number 1 again, unchanged.
BaY2Te2: optimized geometry, PBE.

Properties
space-group type	P4/mbm (127)
total magnetic moment	0.0	μB/f.u.
energy above the lowest structure with this stoichiometry	53.2	meV/atom
density	6.12	g/cm³
D(E_F)	4.55	states/eV per cell

The structure in POSCAR format:
```
BaY2Te2
1.0
8.831 0.000 0.000
0.000 8.831 0.000
0.000 0.000 3.971
Y Te Ba
4 4 2
direct
0.149 0.649 0.500 Y
0.649 0.851 0.500 Y
0.851 0.351 0.500 Y
0.351 0.149 0.500 Y
0.360 0.860 0.000 Te
0.860 0.640 0.000 Te
0.640 0.140 0.000 Te
0.140 0.360 0.000 Te
0.000 0.000 0.000 Ba
0.500 0.500 0.000 Ba
```

***

Please write out number 1 again, unchanged.
BaY2Te2: optimized geometry, PBE.

Properties
space-group type	P4/mbm (127)
total magnetic moment	0.0	μB/f.u.
energy above the lowest structure with this stoichiometry	53.2	meV/atom
density	6.12	g/cm³
D(E_F)	4.55	states/eV per cell

The structure in POSCAR format:
```
BaY2Te2
1.0
8.831 0.000 0.000
0.000 8.831 0.000
0.000 0.000 3.971
Y Te Ba
4 4 2
direct
0.149 0.649 0.500 Y
0.649 0.851 0.500 Y
0.851 0.351 0.500 Y
0.351 0.149 0.500 Y
0.360 0.860 0.000 Te
0.860 0.640 0.000 Te
0.640 0.140 0.000 Te
0.140 0.360 0.000 Te
0.000 0.000 0.000 Ba
0.500 0.500 0.000 Ba
```

***

Among the records above, which one has the highest density? number 1